[1]
Material: KRbAgAu
Method: DFT, PBE
State: optimized geometry

Cell lengths 4.8730, 4.8730, 25.0461 Å; angles 90.00, 90.00, 120.00 degrees
Closest atoms and distances in Å follow each position.
Space group R3m (No. 160, hexagonal axes)
One atom of each set of equivalent atoms:
K 0.0000 0.0000 0.0000 [3 per cell]  3 Ag 3.45, 3 Au 3.46
Rb 0.0000 0.0000 0.1696 [3 per cell]  3 Au 3.60, 3 Ag 3.60
Ag 0.0000 0.0000 0.7465 [3 per cell]  3 Au 2.81
Au 0.0000 0.0000 0.4134 [3 per cell]  3 Ag 2.81

Magnetization ... 0.00 μB per cell
Calculated total energy ... -26.16 eV for the cell shown
Formation energy from the elements ... -132 meV per atom


[2]
Material: KAgAuS2
Method: DFT, PBE
State: optimized geometry

Cell lengths 6.3684, 13.2111, 5.8185 Å; angles 90.00, 90.00, 90.00 degrees
Closest atoms and distances in Å follow each position.
Space group Cmme (No. 67)
One atom of each set of equivalent atoms:
K 0.0000 0.2500 0.2390 [4 per cell]  8 S 3.24-3.61, 2 Au 3.58
Ag 0.2500 0.0000 0.5000 [4 per cell]  4 S 2.60
Au 0.0000 0.0000 0.0000 [4 per cell]  2 S 2.32
S 0.0000 0.1233 0.7158 [8 per cell]  1 Au 2.32

Magnetization ... 0.00 μB per cell
Calculated total energy ... -69.60 eV for the cell shown


[3]
Material: KAgSbAu2
Method: DFT, PBE
State: optimized geometry

Cell lengths 5.3975, 5.3975, 5.3287 Å; angles 90.00, 90.00, 90.00 degrees
Closest atoms and distances in Å follow each position.
Space group P4/mmm (No. 123)
One atom of each set of equivalent atoms:
K 0.0000 0.0000 0.0000 [1 per cell]  8 Au 3.79, 4 Ag 3.82
Ag 0.5000 0.5000 0.0000 [1 per cell]  2 Sb 2.66
Sb 0.5000 0.5000 0.5000 [1 per cell]  2 Ag 2.66, 4 Au 2.70
Au 0.0000 0.5000 0.5000 [2 per cell]  2 Sb 2.70

Magnetization ... 0.00 μB per cell
Calculated total energy ... -14.93 eV for the cell shown


[4]
Material: KAg2AuSe2
Method: DFT, PBE
State: optimized geometry

Cell lengths 7.3818, 9.5125, 4.6945 Å; angles 90.00, 90.00, 90.00 degrees
Closest atoms and distances in Å follow each position.
Space group Pnnm (No. 58)
One atom of each set of equivalent atoms:
K 0.0000 0.0000 0.0000 [2 per cell]  6 Se 3.39-3.58, 2 Ag 3.63
Ag 0.0690 0.3166 0.5000 [4 per cell]  3 Se 2.63-2.77
Au 0.0000 0.5000 0.0000 [2 per cell]  2 Se 2.49
Se 0.2303 0.3085 0.0000 [4 per cell]  1 Au 2.49, 3 Ag 2.63-2.77

Magnetization ... 0.00 μB per cell
Calculated total energy ... -38.91 eV for the cell shown


[5]
Material: KAgAuSe2
Method: DFT, PBE
State: optimized geometry

Cell lengths 6.9707, 5.3370, 7.8285 Å; angles 90.00, 103.16, 90.00 degrees
Closest atoms and distances in Å follow each position.
Space group P2/c (No. 13)
One atom of each set of equivalent atoms:
K 0.0000 0.1742 0.2500 [2 per cell]  6 Se 3.34-3.45, 2 Au 3.71
Ag 0.5000 0.4972 0.2500 [2 per cell]  4 Se 2.69
Au 0.5000 0.0000 0.0000 [2 per cell]  2 Se 2.44
Se 0.2587 0.3387 0.9505 [4 per cell]  1 Au 2.44, 2 Ag 2.69

Magnetization ... 0.00 μB per cell
Calculated total energy ... -32.60 eV for the cell shown


[6]
Material: KSiAg2Au
Method: DFT, PBE
State: optimized geometry

Cell lengths 5.0032, 5.0032, 4.8769 Å; angles 90.00, 90.00, 90.00 degrees
Closest atoms and distances in Å follow each position.
Space group P4/mmm (No. 123)
One atom of each set of equivalent atoms:
K 0.0000 0.0000 0.0000 [1 per cell]  8 Ag 3.49, 4 Au 3.54
Si 0.5000 0.5000 0.5000 [1 per cell]  2 Au 2.44, 4 Ag 2.50
Ag 0.0000 0.5000 0.5000 [2 per cell]  2 Si 2.50
Au 0.5000 0.5000 0.0000 [1 per cell]  2 Si 2.44

Magnetization ... 0.00 μB per cell
Calculated total energy ... -15.75 eV for the cell shown


[7]
Material: KSiAgAu
Method: DFT, PBE
State: optimized geometry

Cell lengths 4.4807, 4.5862, 10.0598 Å; angles 90.00, 90.00, 90.00 degrees
Closest atoms and distances in Å follow each position.
Space group Imm2 (No. 44)
One atom of each set of equivalent atoms:
K 0.0000 0.0000 0.0000 [2 per cell]  4 Si 3.35-3.42, 5 Ag 3.53-3.56, 5 Au 3.53-3.55
Si 0.0000 0.5000 0.2429 [2 per cell]  2 Au 2.44, 2 Ag 2.55
Ag 0.0000 0.0000 0.3537 [2 per cell]  2 Si 2.55
Au 0.0000 0.0000 0.6472 [2 per cell]  2 Si 2.44

Magnetization ... 0.00 μB per cell
Calculated total energy ... -25.60 eV for the cell shown


[8]
Material: K2SiAgAu6
Method: DFT, PBE
State: optimized geometry

Cell lengths 6.7585, 6.7585, 19.0356 Å; angles 90.00, 90.00, 120.00 degrees
Closest atoms and distances in Å follow each position.
Space group R-3m (No. 166, hexagonal axes)
One atom of each set of equivalent atoms:
K 0.0000 0.0000 0.2100 [6 per cell]  12 Au 3.66-3.82, 3 Ag 3.99, 1 Si 4.00
Si 0.0000 0.0000 0.0000 [3 per cell]  6 Au 2.45
Ag 0.0000 0.0000 0.5000 [3 per cell]  6 Au 2.77
Au 0.0546 0.5273 0.2845 [18 per cell]  1 Si 2.45

Magnetization ... 0.00 μB per cell
Calculated total energy ... -97.56 eV for the cell shown


[9]
Material: KSiAgAu2
Method: DFT, PBE
State: optimized geometry

Cell lengths 4.9109, 4.9109, 5.0099 Å; angles 90.00, 90.00, 90.00 degrees
Closest atoms and distances in Å follow each position.
Space group P4/mmm (No. 123)
One atom of each set of equivalent atoms:
K 0.0000 0.0000 0.0000 [1 per cell]  4 Ag 3.47, 8 Au 3.51
Si 0.5000 0.5000 0.5000 [1 per cell]  4 Au 2.46, 2 Ag 2.50
Ag 0.5000 0.5000 0.0000 [1 per cell]  2 Si 2.50
Au 0.0000 0.5000 0.5000 [2 per cell]  2 Si 2.46

Magnetization ... 0.00 μB per cell
Calculated total energy ... -16.58 eV for the cell shown


[10]
Material: KAgSn2Au4
Method: DFT, PBE
State: optimized geometry

Cell lengths 4.7414, 4.7414, 30.2163 Å; angles 90.00, 90.00, 120.00 degrees
Closest atoms and distances in Å follow each position.
Space group R-3m (No. 166, hexagonal axes)
One atom of each set of equivalent atoms:
K 0.0000 0.0000 0.0000 [3 per cell]  6 Au 3.52, 6 Sn 3.91
Ag 0.0000 0.0000 0.5000 [3 per cell]  8 Au 2.83-2.84
Sn 0.0000 0.0000 0.2409 [6 per cell]  7 Au 2.80-3.12
Au 0.0000 0.0000 0.1421 [6 per cell]  3 Ag 2.84, 4 Sn 2.99-3.12, 3 Au 3.11
Au 0.0000 0.0000 0.4063 [6 per cell]  3 Sn 2.80, 1 Ag 2.83

Magnetization ... 0.00 μB per cell
Calculated total energy ... -78.37 eV for the cell shown
Formation energy from the elements ... -133 meV per atom


[11]
Material: KAgSn3Au
Method: DFT, PBE
State: optimized geometry

Cell lengths 7.0454, 15.6903, 7.1865 Å; angles 90.00, 90.00, 90.00 degrees
Closest atoms and distances in Å follow each position.
Space group Cmcm (No. 63)
One atom of each set of equivalent atoms:
K 0.0000 0.2003 0.2500 [4 per cell]  8 Sn 3.64-4.05, 2 Ag 3.93
Ag 0.0000 0.4105 0.7500 [4 per cell]  5 Sn 2.65-2.85
Sn 0.0000 0.2417 0.7500 [4 per cell]  1 Au 2.61, 1 Ag 2.65
Sn 0.2438 0.5000 0.0000 [8 per cell]  2 Au 2.81, 2 Ag 2.85
Au 0.0000 0.0755 0.7500 [4 per cell]  5 Sn 2.61-2.81

Magnetization ... 0.00 μB per cell
Calculated total energy ... -76.13 eV for the cell shown
Formation energy from the elements ... 34 meV per atom


[12]
Material: K2AgSn4Au3
Method: DFT, PBE
State: optimized geometry

Cell lengths 4.9305, 4.9305, 11.0870 Å; angles 90.00, 90.00, 90.00 degrees
Closest atoms and distances in Å follow each position.
Space group P-4m2 (No. 115)
One atom of each set of equivalent atoms:
K 0.0000 0.5000 0.2439 [2 per cell]  2 Ag 3.66, 6 Au 3.66-3.76, 9 Sn 3.74-4.05
Ag 0.5000 0.5000 0.0000 [1 per cell]  4 Sn 2.81
Sn 0.0000 0.0000 0.5000 [1 per cell]  4 Au 2.85
Sn 0.0000 0.5000 0.8783 [2 per cell]  3 Au 2.77-2.81, 2 Ag 2.81
Sn 0.5000 0.5000 0.5000 [1 per cell]  4 Au 2.85
Au 0.0000 0.0000 0.0000 [1 per cell]  4 Sn 2.81
Au 0.0000 0.5000 0.6283 [2 per cell]  5 Sn 2.77-2.85

Magnetization ... 0.00 μB per cell
Calculated total energy ... -33.39 eV for the cell shown
Formation energy from the elements ... -250 meV per atom


[13]
Material: KAgSnAu3
Method: DFT, PBE
State: optimized geometry

Cell lengths 6.5598, 12.4022, 7.7692 Å; angles 90.00, 90.00, 90.00 degrees
Closest atoms and distances in Å follow each position.
Space group Cmcm (No. 63)
One atom of each set of equivalent atoms:
K 0.0000 0.1988 0.2500 [4 per cell]  1 Ag 3.13, 6 Au 3.30-3.47
Ag 0.0000 0.4513 0.2500 [4 per cell]  5 Au 2.72-2.75
Sn 0.0000 0.1112 0.7500 [4 per cell]  5 Au 2.68-2.80
Au 0.0000 0.3270 0.7500 [4 per cell]  1 Sn 2.68, 1 Ag 2.75
Au 0.2242 0.0000 0.0000 [8 per cell]  2 Ag 2.72, 2 Sn 2.80, 1 Au 2.94

Magnetization ... 0.00 μB per cell
Calculated total energy ... -73.36 eV for the cell shown
Formation energy from the elements ... -93 meV per atom


[14]
Material: KAgSnAu2
Method: DFT, PBE
State: optimized geometry

Cell lengths 5.3351, 5.3351, 5.3443 Å; angles 90.00, 90.00, 90.00 degrees
Closest atoms and distances in Å follow each position.
Space group P4/mmm (No. 123)
One atom of each set of equivalent atoms:
K 0.0000 0.0000 0.0000 [1 per cell]  4 Ag 3.77, 8 Au 3.78
Ag 0.5000 0.5000 0.0000 [1 per cell]  2 Sn 2.67
Sn 0.5000 0.5000 0.5000 [1 per cell]  4 Au 2.67, 2 Ag 2.67
Au 0.0000 0.5000 0.5000 [2 per cell]  2 Sn 2.67

Magnetization ... 0.00 μB per cell
Calculated total energy ... -14.76 eV for the cell shown
Formation energy from the elements ... -51 meV per atom


[15]
Material: KSrAgAu
Method: DFT, PBE
State: optimized geometry

Cell lengths 7.8603, 7.8603, 7.8603 Å; angles 90.00, 90.00, 90.00 degrees
Closest atoms and distances in Å follow each position.
Space group F-43m (No. 216)
One atom of each set of equivalent atoms:
K 0.0000 0.0000 0.0000 [4 per cell]  4 Au 3.40, 4 Ag 3.40
Sr 0.0000 0.0000 0.5000 [4 per cell]  4 Au 3.40, 4 Ag 3.40
Ag 0.2500 0.2500 0.7500 [4 per cell]  4 K 3.40, 4 Sr 3.40
Au 0.2500 0.2500 0.2500 [4 per cell]  4 K 3.40, 4 Sr 3.40

Magnetization ... 0.00 μB per cell
Calculated total energy ... -39.98 eV for the cell shown
Formation energy from the elements ... -272 meV per atom


[16]
Material: KAgTeAu
Method: DFT, PBE
State: optimized geometry

Cell lengths 4.1324, 4.1324, 13.5212 Å; angles 90.00, 90.00, 90.00 degrees
Closest atoms and distances in Å follow each position.
Space group P4/nmm (No. 129, origin choice 2)
One atom of each set of equivalent atoms:
K 0.2500 0.2500 0.2084 [2 per cell]  4 Au 3.49, 4 Te 3.51
Ag 0.2500 0.7500 0.5000 [2 per cell]  4 Te 2.87, 4 Ag 2.92
Te 0.2500 0.2500 0.6472 [2 per cell]  4 Ag 2.87
Au 0.2500 0.7500 0.0000 [2 per cell]  4 Au 2.92

Magnetization ... 0.00 μB per cell
Calculated total energy ... -23.22 eV for the cell shown


[17]
Material: KTi2AgAu
Method: DFT, PBE
State: optimized geometry

Cell lengths 5.0238, 5.0238, 6.0037 Å; angles 90.00, 90.00, 90.00 degrees
Closest atoms and distances in Å follow each position.
Space group P4/mmm (No. 123)
One atom of each set of equivalent atoms:
K 0.0000 0.0000 0.0000 [1 per cell]  2 Au 3.00
Ti 0.0000 0.5000 0.5000 [2 per cell]  2 Au 2.51
Ag 0.5000 0.5000 0.0000 [1 per cell]  4 K 3.55, 8 Ti 3.91
Au 0.0000 0.0000 0.5000 [1 per cell]  4 Ti 2.51

Magnetization ... 3.34 μB per cell
Calculated total energy ... -18.88 eV for the cell shown
Formation energy from the elements ... 827 meV per atom


[18]
Material: KTl2AgAu
Method: DFT, PBE
State: optimized geometry

Cell lengths 5.5714, 5.5714, 5.4513 Å; angles 90.00, 90.00, 90.00 degrees
Closest atoms and distances in Å follow each position.
Space group P4/mmm (No. 123)
One atom of each set of equivalent atoms:
K 0.0000 0.0000 0.0000 [1 per cell]  8 Tl 3.90, 4 Ag 3.94
Tl 0.0000 0.5000 0.5000 [2 per cell]  2 Au 2.79
Ag 0.5000 0.5000 0.0000 [1 per cell]  2 Au 2.73
Au 0.5000 0.5000 0.5000 [1 per cell]  2 Ag 2.73, 4 Tl 2.79

Magnetization ... 0.00 μB per cell
Calculated total energy ... -11.69 eV for the cell shown
Formation energy from the elements ... 54 meV per atom


[19]
Material: K2Tl4AgAu3
Method: DFT, PBE
State: optimized geometry

Cell lengths 5.0936, 5.0936, 11.3779 Å; angles 90.00, 90.00, 90.00 degrees
Closest atoms and distances in Å follow each position.
Space group P-4m2 (No. 115)
One atom of each set of equivalent atoms:
K 0.0000 0.5000 0.2389 [2 per cell]  2 Ag 3.72, 6 Au 3.72-3.90, 9 Tl 3.84-4.10
Tl 0.0000 0.0000 0.5000 [1 per cell]  4 Au 2.94
Tl 0.0000 0.5000 0.8784 [2 per cell]  3 Au 2.83-2.90, 2 Ag 2.90
Tl 0.5000 0.5000 0.5000 [1 per cell]  4 Au 2.94
Ag 0.5000 0.5000 0.0000 [1 per cell]  4 Tl 2.90
Au 0.0000 0.0000 0.0000 [1 per cell]  4 Tl 2.90
Au 0.0000 0.5000 0.6299 [2 per cell]  5 Tl 2.83-2.94

Magnetization ... 0.00 μB per cell
Calculated total energy ... -25.67 eV for the cell shown
Formation energy from the elements ... -132 meV per atom


[20]
Material: KTl2AgAu
Method: DFT, PBE
State: optimized geometry

Cell lengths 5.5282, 5.5282, 5.4271 Å; angles 90.00, 90.00, 90.00 degrees
Closest atoms and distances in Å follow each position.
Space group P4/mmm (No. 123)
One atom of each set of equivalent atoms:
K 0.0000 0.0000 0.0000 [1 per cell]  8 Tl 3.87, 4 Au 3.91
Tl 0.0000 0.5000 0.5000 [2 per cell]  2 Ag 2.76
Ag 0.5000 0.5000 0.5000 [1 per cell]  2 Au 2.71, 4 Tl 2.76
Au 0.5000 0.5000 0.0000 [1 per cell]  2 Ag 2.71

Magnetization ... 0.00 μB per cell
Calculated total energy ... -11.51 eV for the cell shown
Formation energy from the elements ... 91 meV per atom